## i
Below is a relaxed structure of GePtSeN2, with properties calculated at the GGA-PBE level.

Cell: 3.603 3.603 7.761 Å, 90.00 90.00 90.00°
Fractional positions:
1 Ge 0.000 0.000 0.000
2 N 0.000 0.500 0.000
3 N 0.500 0.000 0.000
4 Pt 0.500 0.500 0.500
5 Se 0.000 0.000 0.500

Output
SG	P4/mmm
ρ	6.18	g/cm³

***

## ii
Below is a relaxed structure of GePtSeN2, with properties calculated at the GGA-PBE level.

Cell: 3.770 3.770 8.225 Å, 90.00 90.00 90.00°
Fractional positions:
1 N 0.000 0.500 0.000
2 N 0.500 0.000 0.000
3 Pt 0.000 0.000 0.000
4 Ge 0.500 0.500 0.500
5 Se 0.000 0.000 0.500

Output
SG	P4/mmm
ρ	5.32	g/cm³

***

Most stable: ii